(1)
DFT (PBEsol) results for a geometry-optimized ZnHgTe structure.

Lattice parameters (Å, degrees): 4.812 4.812 4.812 60.00 60.00 60.00
Positions (direct):
Hg  0.250  0.250  0.250
Te  0.000  0.000  0.000
Zn  0.500  0.500  0.500

***

(2)
DFT (PBEsol) results for a geometry-optimized Zr2HgTe structure.

Lattice parameters (Å, degrees): 3.485 3.485 9.410 79.33 79.33 60.00
Positions (direct):
Hg  0.497  0.497  0.509
Te  0.257  0.257  0.230
Zr  0.998  0.998  0.007
Zr  0.749  0.749  0.754

***

(3)
DFT (PBEsol) results for a geometry-optimized ZrHg2Te structure.

Lattice parameters (Å, degrees): 3.622 4.741 5.459 90.00 90.00 91.54
Positions (direct):
Hg  0.259  0.242  0.000
Hg  0.741  0.758  0.000
Te  0.000  0.500  0.500
Zr  0.500  0.000  0.500

***

(4)
DFT (PBEsol) results for a geometry-optimized ZrHgTe2 structure.

Lattice parameters (Å, degrees): 3.872 3.872 8.918 77.46 77.46 60.00
Positions (direct):
Te  0.763  0.763  0.711
Te  0.237  0.237  0.289
Hg  0.000  0.000  0.000
Zr  0.500  0.500  0.500

***

How do the records compare in total moment? In the order shown, they have 0.00, 0.00, 0.00, 0.00 μB/f.u..
How do the records compare in uncorrected energy? In the order shown, they have -1.659, -5.775, -3.563, -4.801 eV per atom.
How do the records compare in raw formation energy? In the order shown, they have 0.23, -0.21, -0.13, -0.62 eV per atom.